This record from Alexandria via LeMat-Bulk describes a geometry-optimized Ac8Si3I4O structure. The functional is PBE.

a = 8.8069 Å, b = 9.7459 Å, c = 8.8070 Å
α = 116.86°, β = 120.00°, γ = 90.00°
Closest atoms and distances in Å follow each position.
Element x y z (fractional)
Si 0.5000 0.5000 0.5000  6 Ac 3.04-3.06
Si 0.0000 0.5000 0.5000  6 Ac 3.04-3.06
Si 0.5000 0.5000 0.0000  6 Ac 3.04-3.06
Ac 0.7818 0.3115 0.0297  1 O 2.84, 2 Si 3.06
Ac 0.2182 0.6885 0.9703  1 O 2.84, 2 Si 3.06
Ac 0.2479 0.3115 0.0297  1 O 2.84, 2 Si 3.06
Ac 0.2183 0.6886 0.4366  1 O 2.84, 2 Si 3.06
Ac 0.7817 0.3114 0.5634  1 O 2.84, 2 Si 3.06
Ac 0.2664 0.2992 0.5328  3 Si 3.04
Ac 0.7521 0.6885 0.9703  1 O 2.84, 2 Si 3.06
Ac 0.7336 0.7008 0.4672  3 Si 3.04
O 0.0000 0.5000 0.0000  6 Ac 2.84
I 0.0000 0.0000 0.5000  6 Ac 3.56-3.57
I 0.0000 0.0000 0.0000  6 Ac 3.56-3.57
I 0.5000 0.0000 0.5000  6 Ac 3.56-3.57
I 0.5000 0.0000 0.0000  6 Ac 3.75

Calculated values
Volume ... 558.5 Å³/f.u.
D(E_F) ... 7.81 states/eV per cell
Size of the total moment ... 0.000 μB/atom
Raw total energy ... -77.7 eV per formula unit